DFT (PBE+U) results for crystalline V2OF5 at its relaxed geometry.

Lattice parameters (Å, degrees): 9.170 5.282 9.541 90.00 109.26 90.00
Space group C2 (No. 5)
Inequivalent atoms, fractional coordinates:
V 0.113 0.000 0.368 [4 per cell]
V 0.123 0.525 0.871 [4 per cell]
O 0.028 0.816 0.743 [4 per cell]
F 0.000 0.114 0.500 [2 per cell]
F 0.000 0.611 0.000 [2 per cell]
F 0.048 0.313 0.249 [4 per cell]
F 0.205 0.220 0.000 [4 per cell]
F 0.216 0.736 0.509 [4 per cell]
F 0.242 0.431 0.742 [4 per cell]

Theoretical density = 3.2 Mg/m³
Energy above the most stable polymorph in this dataset = 0.0 meV/atom
Spin magnetization = 0.375 μB per atom